The following is a DFT calculation (PBE) of crystalline YReMo3 at its relaxed geometry.

Summary:
**E**: -7.414 eV per atom
**Energy of formation from the pure elements**: 2.8675 eV per atom
**Offset from the most stable computed form**: 1783.7 meV/atom
**Density of states at the Fermi level**: 1.073 states/eV/atom
**Space group**: Pm-3m (221)

a b c (Å): 4.6614 4.6614 4.6614
angles (deg): 90.00 90.00 90.00
Closest atoms and distances in Å follow each position.
Element x y z (fractional)
Mo: 0.5000 0.0000 0.0000  2 Y 2.33
Mo: 0.0000 0.5000 0.0000  2 Y 2.33
Mo: 0.0000 0.0000 0.5000  2 Y 2.33
Re: 0.5000 0.5000 0.5000  12 Mo 3.30
Y: 0.0000 0.0000 0.0000  6 Mo 2.33